The following is a DFT calculation (GGA+U) of an optimized crystal structure of Li2CrFeO4.

a b c (Å): 5.1786 5.9280 7.8378
angles (deg): 100.77 96.24 106.68
Each line ends with the local moment (μB).
Fractional coordinates of all 24 atoms:
Li (0.5000, 0.5835, 0.8330)  0.01
O (0.7725, 0.2118, 0.0852)  0.17
Li (0.4988, 0.2491, 0.5016)  0.01
Cr (0.0000, 0.0000, 0.0000)  -1.00
O (0.2291, 0.4514, 0.5825)  0.19
O (0.2275, 0.7882, 0.9148)  0.17
O (0.2251, 0.9541, 0.5788)  0.12
O (0.7720, 0.8832, 0.7541)  0.12
O (0.2280, 0.1168, 0.2459)  0.12
O (0.2288, 0.6209, 0.2484)  0.19
Fe (0.0004, 0.3315, 0.3338)  4.30
Li (0.5008, 0.0833, 0.8346)  0.01
Fe (0.0000, 0.5000, 0.0000)  4.29
O (0.7709, 0.5486, 0.4175)  0.19
Li (0.5000, 0.4165, 0.1670)  0.01
O (0.7749, 0.0459, 0.4212)  0.12
Li (0.5012, 0.7509, 0.4984)  0.01
Cr (0.0002, 0.1675, 0.6682)  -2.96
Cr (0.9998, 0.8325, 0.3318)  -2.96
O (0.2283, 0.2834, 0.9144)  0.11
Fe (0.9996, 0.6685, 0.6662)  4.30
O (0.7712, 0.3791, 0.7516)  0.19
O (0.7717, 0.7166, 0.0856)  0.11
Li (0.4992, 0.9167, 0.1654)  0.01

- Energy relative to the lowest polymorph listed for this composition: 44 meV/atom
- Space group: No. 2
- Total energy: -155.1 eV per cell